[1]
First-principles (meta-GGA SCAN) data for a crystal of CdRe2Te relaxed with PBEsol, as listed in Alexandria.

abc: 4.0674 4.1345 6.5015
angles: 75.95 71.77 60.54
Fractional positions:
Te 0.5030 0.4134 0.5806
Re 0.7280 0.7175 0.8266
Re 0.0255 0.0374 0.9117
Cd 0.2435 0.3318 0.1811

## Properties
- formation energy without anion corrections (kJ per mole of atoms) = 51
- symmetry = No. 8
- excess energy over the best structure of this formula in the dataset (meV/atom) = 0
- spin magnetization (Bohr magnetons per cell) = 0.000

[2]
First-principles (meta-GGA SCAN) data for a crystal of LiHgTe relaxed with PBEsol, as listed in Alexandria.

abc: 3.2727 3.2727 6.8789
angles: 103.76 103.76 90.00
Fractional positions:
Li 0.6675 0.6675 0.3351
Te 0.3144 0.3144 0.6287
Hg 0.0181 0.0181 0.0362

## Properties
- formation energy without anion corrections (kJ per mole of atoms) = -37
- symmetry = No. 107
- excess energy over the best structure of this formula in the dataset (meV/atom) = 14
- spin magnetization (Bohr magnetons per cell) = 0.000

[3]
First-principles (meta-GGA SCAN) data for a crystal of FeIrS2F relaxed with PBEsol, as listed in Alexandria.

abc: 3.8996 4.4508 4.4508
angles: 90.00 90.00 90.00
Fractional positions:
Fe 0.5000 0.5000 0.5000
Ir 0.5000 0.0000 0.0000
S 0.0000 0.5000 0.0000
S 0.0000 0.0000 0.5000
F 0.0000 0.0000 0.0000

## Properties
- formation energy without anion corrections (kJ per mole of atoms) = 109
- symmetry = No. 123
- spin magnetization (Bohr magnetons per cell) = 3.854

[4]
First-principles (meta-GGA SCAN) data for a crystal of Ni2PtRh relaxed with PBEsol, as listed in Alexandria.

abc: 2.6390 2.6390 8.5031
angles: 81.07 81.07 60.00
Fractional positions:
Ni 0.7481 0.7481 0.7557
Ni 0.2519 0.2519 0.2443
Pt 0.5000 0.5000 0.5000
Rh 0.0000 0.0000 0.0000

## Properties
- symmetry = No. 166
- spin magnetization (Bohr magnetons per cell) = 2.569
- formation energy (eV per atom) = -0.07

[5]
First-principles (meta-GGA SCAN) data for a crystal of CuW2 relaxed with PBEsol, as listed in Alexandria.

abc: 2.6513 2.6513 6.4067
angles: 101.94 101.94 90.00
Fractional positions:
Cu 0.0000 0.0000 0.0000
W 0.3428 0.3428 0.6856
W 0.6572 0.6572 0.3144

## Properties
- symmetry = No. 139
- excess energy over the best structure of this formula in the dataset (meV/atom) = 0
- spin magnetization (Bohr magnetons per cell) = 0.000
- formation energy (eV per atom) = 0.35

[6]
First-principles (meta-GGA SCAN) data for a crystal of CoReIN2 relaxed with PBEsol, as listed in Alexandria.

abc: 3.7238 3.7238 5.0978
angles: 90.00 90.00 90.00
Fractional positions:
N 0.5000 0.0000 0.0000
N 0.0000 0.5000 0.0000
I 0.0000 0.0000 0.5000
Co 0.0000 0.0000 0.0000
Re 0.5000 0.5000 0.5000

## Properties
- formation energy without anion corrections (kJ per mole of atoms) = 190
- symmetry = No. 123
- spin magnetization (Bohr magnetons per cell) = 1.036

[7]
First-principles (meta-GGA SCAN) data for a crystal of CsTi2Cl7 relaxed with PBEsol, as listed in Alexandria.

abc: 5.9610 7.1332 11.7551
angles: 92.13 90.00 90.00
Fractional positions:
Cl 0.9042 0.3456 0.8783
Cl 0.0958 0.6544 0.1217
Cl 0.4050 0.0000 0.2500
Cl 0.0838 0.1212 0.6252
Cl 0.9162 0.1212 0.1252
Cl 0.5950 0.0000 0.7500
Cl 0.9042 0.6544 0.6217
Cl 0.4224 0.7828 0.5028
Cl 0.5776 0.7828 0.0028
Cl 0.9162 0.8788 0.3748
Cl 0.0838 0.8788 0.8748
Cl 0.4224 0.2172 0.9972
Cl 0.0958 0.3456 0.3783
Cl 0.5776 0.2172 0.4972
Ti 0.7761 0.9362 0.5632
Ti 0.2239 0.0638 0.4368
Ti 0.7761 0.0638 0.9368
Ti 0.2239 0.9362 0.0632
Cs 0.5902 0.5000 0.2500
Cs 0.4098 0.5000 0.7500

## Properties
- formation energy without anion corrections (kJ per mole of atoms) = -186
- symmetry = No. 13
- excess energy over the best structure of this formula in the dataset (meV/atom) = 14
- spin magnetization (Bohr magnetons per cell) = 4.001

[8]
First-principles (meta-GGA SCAN) data for a crystal of InSe2 relaxed with PBEsol, as listed in Alexandria.

abc: 4.7242 4.7242 4.7242
angles: 60.00 60.00 60.00
Fractional positions:
Se 0.7500 0.7500 0.7500
Se 0.2500 0.2500 0.2500
In 0.0000 0.0000 0.0000

## Properties
- formation energy without anion corrections (kJ per mole of atoms) = 4
- symmetry = No. 225
- spin magnetization (Bohr magnetons per cell) = 0.000

[9]
First-principles (meta-GGA SCAN) data for a crystal of MgBe13 relaxed with PBEsol, as listed in Alexandria.

abc: 7.1097 7.1097 7.1097
angles: 60.00 60.00 60.00
Fractional positions:
Be 0.2906 0.9347 0.0653
Be 0.0653 0.7094 0.2906
Be 0.0000 0.0000 0.0000
Be 0.4347 0.7906 0.5653
Be 0.5653 0.7906 0.2094
Be 0.7094 0.9347 0.2906
Be 0.7094 0.0653 0.9347
Be 0.5653 0.4347 0.7906
Be 0.9347 0.7094 0.0653
Be 0.2906 0.7094 0.9347
Be 0.2094 0.7906 0.4347
Be 0.4347 0.2094 0.7906
Be 0.4347 0.5653 0.2094
Be 0.5653 0.2094 0.4347
Be 0.0653 0.9347 0.7094
Be 0.2094 0.4347 0.5653
Be 0.2094 0.5653 0.7906
Be 0.9347 0.0653 0.2906
Be 0.2906 0.0653 0.7094
Be 0.9347 0.2906 0.7094
Be 0.0653 0.2906 0.9347
Be 0.7906 0.4347 0.2094
Be 0.7094 0.2906 0.0653
Be 0.5000 0.5000 0.5000
Be 0.7906 0.5653 0.4347
Be 0.7906 0.2094 0.5653
Mg 0.2500 0.2500 0.2500
Mg 0.7500 0.7500 0.7500

## Properties
- symmetry = No. 226
- spin magnetization (Bohr magnetons per cell) = 0.000
- formation energy (eV per atom) = 0.01

[10]
First-principles (meta-GGA SCAN) data for a crystal of Mn4CdO5 relaxed with PBEsol, as listed in Alexandria.

abc: 3.1830 3.1830 11.2100
angles: 98.16 98.16 90.00
Fractional positions:
O 0.1087 0.1087 0.2175
O 0.5000 0.5000 0.0000
O 0.7025 0.7025 0.4050
O 0.8913 0.8913 0.7825
O 0.2975 0.2975 0.5950
Mn 0.6047 0.6047 0.2093
Mn 0.3953 0.3953 0.7907
Mn 0.2026 0.2026 0.4052
Mn 0.7974 0.7974 0.5948
Cd 0.0000 0.0000 0.0000

## Properties
- formation energy without anion corrections (kJ per mole of atoms) = -168
- symmetry = No. 139
- spin magnetization (Bohr magnetons per cell) = 19.989

[11]
First-principles (meta-GGA SCAN) data for a crystal of Li2Cr2O7 relaxed with PBEsol, as listed in Alexandria.

abc: 6.5920 6.5920 12.7856
angles: 90.00 90.00 90.00
Fractional positions:
O 0.9885 0.0415 0.8797
O 0.8870 0.4589 0.8519
O 0.4589 0.8870 0.1481
O 0.9589 0.6130 0.6019
O 0.8245 0.2836 0.4567
O 0.5415 0.5115 0.6297
O 0.7164 0.1755 0.0433
O 0.7104 0.7104 0.0000
O 0.1130 0.5411 0.3519
O 0.1755 0.7164 0.9567
O 0.2896 0.2896 0.5000
O 0.0411 0.3870 0.1019
O 0.6130 0.9589 0.3981
O 0.3870 0.0411 0.8981
O 0.3245 0.2164 0.2933
O 0.2836 0.8245 0.5433
O 0.2104 0.7896 0.7500
O 0.0115 0.9585 0.3797
O 0.7896 0.2104 0.2500
O 0.4885 0.4585 0.8703
O 0.2164 0.3245 0.7067
O 0.9585 0.0115 0.6203
O 0.5411 0.1130 0.6481
O 0.0415 0.9885 0.1203
O 0.5115 0.5415 0.3703
O 0.4585 0.4885 0.1297
O 0.6755 0.7836 0.7933
O 0.7836 0.6755 0.2067
Cr 0.8104 0.0960 0.3744
Cr 0.5960 0.6896 0.1244
Cr 0.3104 0.4040 0.3756
Cr 0.9040 0.1896 0.1256
Cr 0.6896 0.5960 0.8756
Cr 0.1896 0.9040 0.8744
Cr 0.0960 0.8104 0.6256
Cr 0.4040 0.3104 0.6244
Li 0.3122 0.9494 0.4027
Li 0.4494 0.1878 0.1527
Li 0.9494 0.3122 0.5973
Li 0.8122 0.5506 0.3473
Li 0.5506 0.8122 0.6527
Li 0.0506 0.6878 0.0973
Li 0.6878 0.0506 0.9027
Li 0.1878 0.4494 0.8473

## Properties
- formation energy without anion corrections (kJ per mole of atoms) = -191
- symmetry = No. 92
- excess energy over the best structure of this formula in the dataset (meV/atom) = 25
- spin magnetization (Bohr magnetons per cell) = 0.000

[12]
First-principles (meta-GGA SCAN) data for a crystal of Ba2PCl relaxed with PBEsol, as listed in Alexandria.

abc: 4.5847 4.5847 6.3375
angles: 90.00 90.00 90.00
Fractional positions:
Cl 0.0000 0.0000 0.0000
P 0.5000 0.5000 0.5000
Ba 0.0000 0.0000 0.5000
Ba 0.5000 0.5000 0.0000

## Properties
- formation energy without anion corrections (kJ per mole of atoms) = -173
- symmetry = No. 123
- excess energy over the best structure of this formula in the dataset (meV/atom) = 96
- spin magnetization (Bohr magnetons per cell) = 0.000

[13]
First-principles (meta-GGA SCAN) data for a crystal of YCuW2O8 relaxed with PBEsol, as listed in Alexandria.

abc: 4.9980 5.9958 6.0120
angles: 109.39 91.74 113.54
Fractional positions:
W 0.2449 0.9820 0.6704
W 0.7551 0.0180 0.3296
O 0.0040 0.7502 0.7849
O 0.0306 0.1939 0.6697
O 0.9694 0.8061 0.3303
O 0.5388 0.2037 0.4756
O 0.4884 0.7636 0.0686
O 0.4612 0.7963 0.5244
O 0.5117 0.2364 0.9314
O 0.9960 0.2498 0.2151
Y 0.0000 0.5000 0.0000
Cu 0.5000 0.5000 0.5000

## Properties
- formation energy without anion corrections (kJ per mole of atoms) = -234
- symmetry = No. 2
- spin magnetization (Bohr magnetons per cell) = 0.000

[14]
First-principles (meta-GGA SCAN) data for a crystal of Y2AsOsBr relaxed with PBEsol, as listed in Alexandria.

abc: 4.4263 5.4400 5.4400
angles: 90.00 90.00 90.00
Fractional positions:
As 0.0000 0.0000 0.0000
Y 0.0000 0.5000 0.0000
Y 0.0000 0.0000 0.5000
Os 0.5000 0.0000 0.0000
Br 0.5000 0.5000 0.5000

## Properties
- formation energy without anion corrections (kJ per mole of atoms) = -20
- symmetry = No. 123
- spin magnetization (Bohr magnetons per cell) = 0.000

[15]
First-principles (meta-GGA SCAN) data for a crystal of Cd3GaAs relaxed with PBEsol, as listed in Alexandria.

abc: 5.2024 5.2024 5.2024
angles: 90.00 90.00 90.00
Fractional positions:
Cd 0.0000 0.0000 0.5000
Cd 0.0000 0.5000 0.0000
Cd 0.5000 0.0000 0.0000
As 0.0000 0.0000 0.0000
Ga 0.5000 0.5000 0.5000

## Properties
- symmetry = No. 221
- spin magnetization (Bohr magnetons per cell) = 0.000
- formation energy (eV per atom) = 0.47

[16]
First-principles (meta-GGA SCAN) data for a crystal of SrH16O10 relaxed with PBEsol, as listed in Alexandria.

abc: 6.3356 6.3356 11.1703
angles: 91.10 91.10 96.35
Fractional positions:
Sr 0.9479 0.0449 0.7694
Sr 0.0449 0.9479 0.2694
H 0.6823 0.6606 0.6409
H 0.6606 0.6823 0.1409
H 0.3591 0.6775 0.1369
H 0.7686 0.7942 0.5264
H 0.2572 0.3543 0.1409
H 0.8503 0.2467 0.4488
H 0.6183 0.3209 0.1385
H 0.6627 0.1851 0.9568
H 0.2936 0.9922 0.6173
H 0.3433 0.1292 0.4588
H 0.4052 0.0011 0.8698
H 0.0754 0.7055 0.6206
H 0.6903 0.6219 0.8552
H 0.3209 0.6183 0.6385
H 0.2968 0.5688 0.3401
H 0.5954 0.9396 0.3860
H 0.4499 0.2602 0.3482
H 0.3543 0.2572 0.6409
H 0.1851 0.6627 0.4568
H 0.9186 0.4064 0.6029
H 0.5688 0.2968 0.8401
H 0.1292 0.3433 0.9588
H 0.4064 0.9186 0.1029
H 0.6775 0.3591 0.6369
H 0.7942 0.7686 0.0264
H 0.2467 0.8503 0.9488
H 0.2602 0.4499 0.8482
H 0.9922 0.2936 0.1173
H 0.7055 0.0754 0.1206
H 0.0011 0.4052 0.3698
H 0.9396 0.5954 0.8860
H 0.6219 0.6903 0.3552
O 0.4912 0.4889 0.8086
O 0.7612 0.8075 0.1130
O 0.2270 0.7209 0.5966
O 0.4800 0.4899 0.1771
O 0.6272 0.1526 0.8690
O 0.8082 0.2870 0.6108
O 0.2870 0.8082 0.1108
O 0.8327 0.7026 0.8888
O 0.9209 0.2576 0.3705
O 0.7026 0.8327 0.3888
O 0.2576 0.9209 0.8705
O 0.4899 0.4800 0.6771
O 0.1072 0.4000 0.8769
O 0.7209 0.2270 0.0966
O 0.1526 0.6272 0.3690
O 0.2471 0.1371 0.6079
O 0.4889 0.4912 0.3086
O 0.8075 0.7612 0.6130
O 0.1371 0.2471 0.1079
O 0.4000 0.1072 0.3769

## Properties
- symmetry = No. 9
- excess energy over the best structure of this formula in the dataset (meV/atom) = 18
- spin magnetization (Bohr magnetons per cell) = 0.220

[17]
First-principles (meta-GGA SCAN) data for a crystal of Ba2FeAg relaxed with PBEsol, as listed in Alexandria.

abc: 4.6155 4.7525 6.3187
angles: 112.09 90.00 90.00
Fractional positions:
Fe 0.0000 0.6745 0.3489
Ba 0.5000 0.2729 0.5458
Ba 0.0000 0.9825 0.9649
Ag 0.5000 0.5756 0.1512

## Properties
- symmetry = No. 38
- excess energy over the best structure of this formula in the dataset (meV/atom) = 65
- spin magnetization (Bohr magnetons per cell) = 2.283
- formation energy (eV per atom) = 0.23

[18]
First-principles (meta-GGA SCAN) data for a crystal of ZrZnFe relaxed with PBEsol, as listed in Alexandria.

abc: 4.1977 4.1977 4.1977
angles: 60.00 60.00 60.00
Fractional positions:
Fe 0.5000 0.5000 0.5000
Zr 0.0000 0.0000 0.0000
Zn 0.2500 0.2500 0.2500

## Properties
- symmetry = No. 216
- spin magnetization (Bohr magnetons per cell) = 2.307
- formation energy (eV per atom) = 0.24

[19]
First-principles (meta-GGA SCAN) data for a crystal of TeIrN2F relaxed with PBEsol, as listed in Alexandria.

abc: 3.9408 4.0914 4.0914
angles: 90.00 90.00 90.00
Fractional positions:
N 0.0000 0.5000 0.0000
N 0.0000 0.0000 0.5000
F 0.5000 0.0000 0.0000
Te 0.0000 0.0000 0.0000
Ir 0.5000 0.5000 0.5000

## Properties
- formation energy without anion corrections (kJ per mole of atoms) = 161
- symmetry = No. 123
- excess energy over the best structure of this formula in the dataset (meV/atom) = 0
- spin magnetization (Bohr magnetons per cell) = 0.005

[20]
First-principles (meta-GGA SCAN) data for a crystal of TaAgCl relaxed with PBEsol, as listed in Alexandria.

abc: 2.9365 2.9365 6.9375
angles: 102.22 102.22 90.00
Fractional positions:
Ag 0.0298 0.0298 0.0596
Cl 0.2948 0.2948 0.5896
Ta 0.6754 0.6754 0.3508

## Properties
- formation energy without anion corrections (kJ per mole of atoms) = 5
- symmetry = No. 107
- spin magnetization (Bohr magnetons per cell) = 0.000

[21]
First-principles (meta-GGA SCAN) data for a crystal of YZrMo2N relaxed with PBEsol, as listed in Alexandria.

abc: 4.1534 4.1534 4.7281
angles: 90.00 90.00 90.00
Fractional positions:
N 0.0000 0.0000 0.0000
Mo 0.0000 0.5000 0.0000
Mo 0.5000 0.0000 0.0000
Zr 0.5000 0.5000 0.5000
Y 0.0000 0.0000 0.5000

## Properties
- formation energy without anion corrections (kJ per mole of atoms) = -20
- symmetry = No. 123
- spin magnetization (Bohr magnetons per cell) = 0.000

[22]
First-principles (meta-GGA SCAN) data for a crystal of BeSeCl2 relaxed with PBEsol, as listed in Alexandria.

abc: 2.8939 3.1646 10.0322
angles: 96.42 90.00 90.00
Fractional positions:
Cl 0.0000 0.3748 0.1369
Cl 0.0000 0.6252 0.8631
Be 0.5000 0.5000 0.0000
Se 0.5000 0.0000 0.5000

## Properties
- formation energy without anion corrections (kJ per mole of atoms) = -56
- symmetry = No. 10
- excess energy over the best structure of this formula in the dataset (meV/atom) = 0
- spin magnetization (Bohr magnetons per cell) = 0.000